# Ba2Y2Si

Crystalline Ba2Y2Si at its relaxed geometry (GGA-PBE, Alexandria via LeMat-Bulk).

Formation energy from raw total energies ... 0.3503 eV/atom
Polymorph energy (0 for the lowest one) ... 0.0000 eV per atom

Cell: 4.3526 4.3526 21.7242 Å, 90.00 90.00 90.00°
Last column: nearest neighbours and their distance in Å.
Space group I4/mmm (No. 139)
Asymmetric unit:
Ba  0.0000  0.0000  0.0834 (multiplicity 4)  4 Si 3.57, 1 Ba 3.62
Y  0.0000  0.5000  0.2500 (multiplicity 4)  4 Y 3.08
Si  0.0000  0.0000  0.5000 (multiplicity 2)  8 Ba 3.57

---

# TaZn3Pd

Crystalline TaZn3Pd at its relaxed geometry (GGA-PBE, Alexandria via LeMat-Bulk).

Polymorph energy (0 for the lowest one) ... 0.0000 eV per atom

Cell: 4.5880 4.5880 4.5880 Å, 90.00 90.00 90.00°
Last column: nearest neighbours and their distance in Å.
Space group Pm-3m (No. 221)
Asymmetric unit:
Ta  0.0000  0.0000  0.0000 (multiplicity 1)  12 Zn 3.24
Zn  0.0000  0.5000  0.5000 (multiplicity 3)  2 Pd 2.29
Pd  0.5000  0.5000  0.5000 (multiplicity 1)  6 Zn 2.29

---

# MnGa3C

Crystalline MnGa3C at its relaxed geometry (GGA-PBE, Alexandria via LeMat-Bulk).

Polymorph energy (0 for the lowest one) ... 0.3776 eV per atom

Cell: 4.9637 4.9637 4.9637 Å, 90.00 90.00 90.00°
Last column: nearest neighbours and their distance in Å.
Space group Pm-3m (No. 221)
Asymmetric unit:
Mn  0.0000  0.0000  0.0000 (multiplicity 1)  6 Ga 2.48
Ga  0.0000  0.0000  0.5000 (multiplicity 3)  2 Mn 2.48
C  0.5000  0.5000  0.5000 (multiplicity 1)  12 Ga 3.51

---

# Pm2Ge3Ir5

Crystalline Pm2Ge3Ir5 at its relaxed geometry (GGA-PBE, Alexandria via LeMat-Bulk).

Polymorph energy (0 for the lowest one) ... 0.0000 eV per atom

Cell: 4.2296 24.5076 6.8505 Å, 90.00 90.00 90.00°
Last column: nearest neighbours and their distance in Å.
Space group Cmc2_1 (No. 36)
Asymmetric unit:
Pm  0.0000  0.0226  0.0000 (multiplicity 4)  5 Ge 2.89-3.05, 6 Ir 3.02-3.22
Pm  0.0000  0.3245  0.0144 (multiplicity 4)  10 Ir 2.99-3.27, 4 Ge 3.00-3.08
Ge  0.0000  0.1112  0.7218 (multiplicity 4)  4 Ir 2.46-2.63
Ge  0.0000  0.2665  0.5268 (multiplicity 4)  7 Ir 2.47-2.60
Ge  0.0000  0.4529  0.7983 (multiplicity 4)  5 Ir 2.51-2.70
Ir  0.0000  0.1008  0.3403 (multiplicity 4)  3 Ge 2.51-2.63, 1 Ir 2.74
Ir  0.0000  0.2067  0.8300 (multiplicity 4)  4 Ge 2.46-2.59, 1 Ir 2.73
Ir  0.0000  0.2080  0.2280 (multiplicity 4)  3 Ge 2.50-2.60, 2 Ir 2.73-2.74
Ir  0.0000  0.3670  0.5612 (multiplicity 4)  2 Ge 2.47-2.66
Ir  0.0000  0.4431  0.1670 (multiplicity 4)  4 Ge 2.53-2.70

---

# LaCo4P

Crystalline LaCo4P at its relaxed geometry (GGA-PBE, Alexandria via LeMat-Bulk).

Polymorph energy (0 for the lowest one) ... 0.0000 eV per atom

Cell: 6.4327 3.7201 7.5130 Å, 90.00 90.00 90.00°
Last column: nearest neighbours and their distance in Å.
Space group Pmma (No. 51)
Asymmetric unit:
La  0.2500  0.0000  0.1238 (multiplicity 2)  8 Co 2.93-3.25, 1 P 3.07
Co  0.0000  0.0000  0.5000 (multiplicity 2)  2 P 2.28, 4 Co 2.50
Co  0.0580  0.5000  0.7288 (multiplicity 4)  2 P 2.24, 3 Co 2.36-2.49
Co  0.2500  0.5000  0.4409 (multiplicity 2)  8 Co 2.36-2.50
P  0.2500  0.0000  0.7147 (multiplicity 2)  6 Co 2.24-2.28

---

# Pm5Er2Pb5

Crystalline Pm5Er2Pb5 at its relaxed geometry (GGA-PBE, Alexandria via LeMat-Bulk).

Cell: 14.5892 4.6143 12.9558 Å, 90.00 114.25 90.00°
Last column: nearest neighbours and their distance in Å.
Space group C2/m (No. 12)
Asymmetric unit:
Pm  0.0000  0.0000  0.0000 (multiplicity 2)  4 Pb 3.19
Pm  0.1609  0.0000  0.5247 (multiplicity 4)  5 Pb 3.21-3.42
Pm  0.2006  0.0000  0.8252 (multiplicity 4)  5 Pb 3.13-3.32
Er  0.0601  0.5000  0.2869 (multiplicity 4)  4 Pb 3.00-3.22
Pb  0.0000  0.5000  0.5000 (multiplicity 2)  4 Pm 3.21, 2 Er 3.22
Pb  0.1188  0.5000  0.9369 (multiplicity 4)  1 Er 3.00, 5 Pm 3.13-3.20
Pb  0.2007  0.0000  0.2824 (multiplicity 4)  2 Er 3.10, 5 Pm 3.32-3.42

---

# KGaN2F

Crystalline KGaN2F at its relaxed geometry (GGA-PBE, Alexandria via LeMat-Bulk).

Formation energy from raw total energies ... 1.2114 eV/atom
Polymorph energy (0 for the lowest one) ... 1.2362 eV per atom

Cell: 5.2237 5.2237 4.7893 Å, 90.00 90.00 90.00°
Last column: nearest neighbours and their distance in Å.
Space group P4/mmm (No. 123)
Asymmetric unit:
K  0.0000  0.0000  0.0000 (multiplicity 1)  2 F 2.39, 4 N 2.61
Ga  0.5000  0.5000  0.5000 (multiplicity 1)  8 N 3.54, 4 F 3.69
N  0.0000  0.5000  0.0000 (multiplicity 2)  2 K 2.61
F  0.0000  0.0000  0.5000 (multiplicity 1)  2 K 2.39

---

# SrCaLaPm

Crystalline SrCaLaPm at its relaxed geometry (GGA-PBE, Alexandria via LeMat-Bulk).

Cell: 8.6659 8.6659 8.6659 Å, 90.00 90.00 90.00°
Last column: nearest neighbours and their distance in Å.
Space group F-43m (No. 216)
Asymmetric unit:
Sr  0.0000  0.0000  0.0000 (multiplicity 4)  4 Ca 3.75, 4 Pm 3.75
Ca  0.2500  0.2500  0.2500 (multiplicity 4)  4 La 3.75, 4 Sr 3.75
La  0.0000  0.0000  0.5000 (multiplicity 4)  4 Pm 3.75, 4 Ca 3.75
Pm  0.2500  0.2500  0.7500 (multiplicity 4)  4 La 3.75, 4 Sr 3.75

---

DFT total energy per entry: -4.0890, -3.4008, -3.9648, -7.2968, -6.7250, -4.6604, -3.3179, -3.1853 eV per atom